Entry 1:
The following is a PBE calculation of crystalline PmZn2PtAu at its relaxed geometry, from Alexandria via LeMat-Bulk.

Computed properties:
Total moment: 0.00 μB per formula unit
Density: 11.22 g/cm3
Calculated formation energy: -0.61 eV/atom
Electronic total energy: -0.1445 Ha/atom

a = 3.926 Å, b = 4.064 Å, c = 12.389 Å
α = 90.00°, β = 90.00°, γ = 90.00°
Space group Imm2 (No. 44)
Asymmetric unit:
Pm (0.000, 0.000, 0.000)
Zn (0.000, 0.000, 0.383)
Zn (0.000, 0.500, 0.236)
Pt (0.000, 0.000, 0.586)
Au (0.000, 0.500, 0.746)

=====

Entry 2:
The following is a PBE calculation of crystalline Sm2HgPd at its relaxed geometry, from Alexandria via LeMat-Bulk.

Computed properties:
Total moment: 0.00 μB per formula unit
Density: 10.05 g/cm3
Calculated formation energy: -0.63 eV/atom
Excess energy over the best structure of this formula in the dataset: 0.0 kJ per mole of atoms
Electronic total energy: -0.1604 Ha/atom

a = 3.664 Å, b = 3.664 Å, c = 7.477 Å
α = 90.00°, β = 90.00°, γ = 90.00°
Space group P4/mmm (No. 123)
Asymmetric unit:
Sm (0.000, 0.000, 0.230)
Hg (0.500, 0.500, 0.500)
Pd (0.500, 0.500, 0.000)

=====

Entry 3:
The following is a PBE calculation of crystalline Sc3TcO at its relaxed geometry, from Alexandria via LeMat-Bulk.

Computed properties:
Formation energy (no corrections): -1.044 eV/atom
Total moment: 0.00 μB per formula unit
Density: 4.71 g/cm3
Excess energy over the best structure of this formula in the dataset: 26.8 kJ per mole of atoms
Electronic total energy: -0.2906 Ha/atom

a = 5.6201 Å, b = 5.6201 Å, c = 19.2549 Å
α = 90.00°, β = 90.00°, γ = 120.00°
Space group R-3 (No. 148, hexagonal axes)
Asymmetric unit:
Sc (0.0072, 0.3537, 0.4302)
Tc (0.0000, 0.0000, 0.3389)
O (0.0000, 0.0000, 0.1598)

=====

Entry 4:
The following is a PBE calculation of crystalline ReRhC2 at its relaxed geometry, from Alexandria via LeMat-Bulk.

Computed properties:
Total moment: 0.00 μB per formula unit
Density: 10.45 g/cm3
Calculated formation energy: 0.54 eV/atom
Excess energy over the best structure of this formula in the dataset: 0.0 kJ per mole of atoms
Electronic total energy: -0.3315 Ha/atom

a = 4.646 Å, b = 4.646 Å, c = 9.221 Å
α = 90.00°, β = 90.00°, γ = 90.00°
Space group I-42d (No. 122)
Asymmetric unit:
Re (0.000, 0.000, 0.000)
Rh (0.000, 0.000, 0.500)
C (0.237, 0.250, 0.125)

=====

- Which formula does entry 1 have?
  PmZn2PtAu